No. 1
Density functional theory data (GGA-PBE) for an optimized crystal structure of AcPr6Sm3.

Summary:
D(E_F), states/eV per cell: 28.9
Spin magnetization, μB per formula unit: 0.0
Polymorph energy (0 for the lowest one), eV/f.u.: 0.00

Cell: 12.4542 3.6736 16.5032 Å, 90.00 104.23 90.00°
Closest atoms and distances in Å follow each position.
Space group P2_1/m (No. 11)
Symmetry-distinct sites (fractional):
1 Ac 0.1338 0.2500 0.0621 x2  1 Sm 3.65, 4 Ac 3.67-3.92, 7 Pr 3.68-3.90
2 Pr 0.1116 0.2500 0.4602 x2  4 Sm 3.47-3.58, 8 Pr 3.67-3.82
3 Pr 0.1149 0.7500 0.8550 x2  2 Sm 3.55, 5 Pr 3.67-3.75, 3 Ac 3.68-3.84
4 Pr 0.1584 0.7500 0.2745 x2  6 Pr 3.67-3.99, 5 Sm 3.70-3.83, 2 Ac 3.90
5 Pr 0.3391 0.7500 0.6126 x2  6 Sm 3.67-3.75, 6 Pr 3.67-3.82
6 Pr 0.3597 0.2500 0.8190 x2  3 Sm 3.43-3.69, 9 Pr 3.63-3.82
7 Pr 0.3809 0.7500 0.0216 x2  8 Pr 3.63-3.77, 2 Sm 3.67, 2 Ac 3.78
8 Sm 0.1121 0.2500 0.6706 x2  9 Pr 3.43-3.70, 2 Sm 3.67
9 Sm 0.3843 0.2500 0.4283 x2  5 Sm 3.54-3.73, 6 Pr 3.56-3.77
10 Sm 0.3991 0.2500 0.2169 x2  3 Sm 3.54-3.67, 1 Ac 3.65, 7 Pr 3.67-3.83

No. 2
Density functional theory data (GGA-PBE) for an optimized crystal structure of AcPr3Sm6.

Summary:
D(E_F), states/eV per cell: 57.3
Spin magnetization, μB per formula unit: 0.0
Polymorph energy (0 for the lowest one), eV/f.u.: 0.00

Cell: 9.8536 15.7412 9.2477 Å, 90.00 90.00 90.00°
Closest atoms and distances in Å follow each position.
Space group Cmc2_1 (No. 36)
Symmetry-distinct sites (fractional):
1 Ac 0.0000 0.2184 0.0000 x4  3 Pr 3.55-3.63, 6 Sm 3.55-3.94
2 Pr 0.0000 0.0461 0.2472 x4  2 Pr 3.51, 1 Ac 3.55, 5 Sm 3.57-3.84
3 Pr 0.2370 0.4360 0.4219 x8  7 Sm 3.41-3.74, 1 Pr 3.51, 1 Ac 3.63
4 Sm 0.0000 0.2793 0.3712 x4  3 Sm 3.40-3.58, 2 Pr 3.43, 1 Ac 3.56
5 Sm 0.0000 0.4467 0.1091 x4  4 Pr 3.44-3.72, 5 Sm 3.51-3.84, 1 Ac 3.73
6 Sm 0.1757 0.1449 0.5905 x8  5 Sm 3.40-3.62, 3 Pr 3.43-3.76
7 Sm 0.1757 0.3532 0.7560 x8  3 Pr 3.41-3.70, 3 Sm 3.42-3.62, 1 Ac 3.55

No. 3
Density functional theory data (GGA-PBE) for an optimized crystal structure of Ac3Pr4Sm.

Summary:
D(E_F), states/eV per cell: 29.0
Spin magnetization, μB per formula unit: 0.0
Polymorph energy (0 for the lowest one), eV/f.u.: 0.18

Cell: 12.3528 7.6953 6.6192 Å, 90.00 90.00 90.00°
Closest atoms and distances in Å follow each position.
Space group Pmn2_1 (No. 31)
Symmetry-distinct sites (fractional):
1 Ac 0.0000 0.1294 0.0000 x2  6 Pr 3.77-3.98, 2 Sm 3.83-3.90, 4 Ac 3.84-3.85
2 Ac 0.2481 0.1343 0.3501 x4  6 Pr 3.76-3.94, 2 Sm 3.82-3.86, 4 Ac 3.84-3.90
3 Pr 0.0000 0.3902 0.5185 x2  2 Sm 3.70-4.00, 6 Pr 3.72-3.79, 4 Ac 3.77-3.98
4 Pr 0.0000 0.6203 0.0203 x2  6 Pr 3.72-3.83, 2 Sm 3.75-3.91, 4 Ac 3.78-3.92
5 Pr 0.2468 0.6222 0.3422 x4  6 Pr 3.72-3.83, 5 Ac 3.76-3.94, 1 Sm 3.76
6 Sm 0.0000 0.8703 0.5060 x2  6 Pr 3.70-4.00, 6 Ac 3.82-3.90

No. 4
Density functional theory data (GGA-PBE) for an optimized crystal structure of Ac2Pr3Sm.

Summary:
D(E_F), states/eV per cell: 38.9
Spin magnetization, μB per formula unit: 0.0
Polymorph energy (0 for the lowest one), eV/f.u.: 0.00

Cell: 16.0936 5.3854 11.9463 Å, 90.00 116.54 90.00°
Closest atoms and distances in Å follow each position.
Space group C2/m (No. 12)
Symmetry-distinct sites (fractional):
1 Ac 0.0365 0.0000 0.3686 x4  4 Pr 3.74-3.82, 4 Sm 3.76-3.88, 4 Ac 3.81-3.90
2 Ac 0.2085 0.5000 0.3688 x4  4 Pr 3.74-3.85, 3 Sm 3.78-3.90, 5 Ac 3.86-3.90
3 Pr 0.0460 0.5000 0.8823 x4  8 Pr 3.69-3.84, 1 Sm 3.77, 3 Ac 3.80-3.85
4 Pr 0.1245 0.0000 0.1199 x4  8 Pr 3.69-3.84, 1 Sm 3.78, 3 Ac 3.79-3.82
5 Pr 0.2094 0.0000 0.8792 x4  8 Pr 3.69-3.79, 2 Ac 3.74, 2 Sm 3.79
6 Sm 0.1262 0.5000 0.6302 x4  7 Ac 3.76-3.90, 4 Pr 3.77-3.79, 1 Sm 3.86

No. 5
Density functional theory data (GGA-PBE) for an optimized crystal structure of Ac5PrSm4.

Summary:
D(E_F), states/eV per cell: 28.0
Spin magnetization, μB per formula unit: 0.0
Electronic total energy, eV/atom: -4.354

Cell: 17.7900 6.0814 7.5020 Å, 90.00 102.68 90.00°
Closest atoms and distances in Å follow each position.
Space group C2/m (No. 12)
Symmetry-distinct sites (fractional):
1 Ac 0.0000 0.0000 0.0000 x2  2 Pr 3.75, 6 Sm 3.98-4.12, 6 Ac 4.00-4.14
2 Ac 0.0981 0.5000 0.3116 x4  6 Sm 3.45-3.83, 1 Ac 3.85
3 Ac 0.2103 0.0000 0.8478 x4  7 Sm 3.59-3.80, 3 Ac 3.85-3.88
4 Pr 0.0000 0.0000 0.5000 x2  8 Ac 3.75-4.06, 6 Sm 3.98-4.15
5 Sm 0.1009 0.5000 0.8029 x4  6 Ac 3.45-3.83, 1 Sm 3.77
6 Sm 0.2123 0.0000 0.3553 x4  7 Ac 3.63-3.80, 3 Sm 3.77-3.81

No. 6
Density functional theory data (GGA-PBE) for an optimized crystal structure of Ac5PrSm.

Summary:
D(E_F), states/eV per cell: 10.0
Spin magnetization, μB per formula unit: 0.0
Electronic total energy, eV/atom: -4.063

Cell: 5.7086 5.7086 9.5457 Å, 90.00 90.00 90.00°
Closest atoms and distances in Å follow each position.
Space group P4/mmm (No. 123)
Symmetry-distinct sites (fractional):
1 Ac 0.0000 0.0000 0.0000 x1  8 Ac 3.91, 4 Pr 4.04
2 Ac 0.0000 0.5000 0.2806 x4  2 Sm 3.54, 2 Pr 3.91, 2 Ac 3.91
3 Pr 0.5000 0.5000 0.0000 x1  12 Ac 3.91-4.04
4 Sm 0.5000 0.5000 0.5000 x1  8 Ac 3.54

No. 7
Density functional theory data (GGA-PBE) for an optimized crystal structure of AcPr4Sm.

Summary:
D(E_F), states/eV per cell: 46.6
Spin magnetization, μB per formula unit: 0.0
Polymorph energy (0 for the lowest one), eV/f.u.: 2.37

Cell: 12.0293 7.2440 11.9259 Å, 90.00 90.00 90.00°
Closest atoms and distances in Å follow each position.
Space group Cmcm (No. 63)
Symmetry-distinct sites (fractional):
1 Ac 0.0000 0.0016 0.2500 x4  8 Pr 3.50-3.53, 2 Sm 3.62
2 Pr 0.0000 0.2597 0.9998 x8  2 Sm 3.44-3.46, 2 Pr 3.48-3.76, 2 Ac 3.52-3.53
3 Pr 0.2503 0.2453 0.7500 x8  2 Sm 3.50-3.52, 2 Ac 3.50-3.52, 2 Pr 3.62
4 Sm 0.0000 0.4984 0.7500 x4  8 Pr 3.44-3.52, 2 Ac 3.62

No. 8
Density functional theory data (GGA-PBE) for an optimized crystal structure of Ac2Pr5Sm5.

Summary:
D(E_F), states/eV per cell: 40.1
Spin magnetization, μB per formula unit: 0.0
Electronic total energy, eV/atom: -4.616

Cell: 15.8406 5.2535 11.7994 Å, 90.00 116.69 90.00°
Closest atoms and distances in Å follow each position.
Space group C2/m (No. 12)
Symmetry-distinct sites (fractional):
1 Ac 0.0827 0.0000 0.2501 x4  7 Sm 3.72-3.74, 5 Pr 3.73-3.77
2 Pr 0.0000 0.0000 0.5000 x2  2 Pr 3.67, 8 Sm 3.71-3.72, 2 Ac 3.73
3 Pr 0.1681 0.0000 0.0004 x4  5 Sm 3.68-3.74, 5 Pr 3.69-3.74, 2 Ac 3.74-3.75
4 Pr 0.2460 0.0000 0.7474 x4  6 Sm 3.66-3.78, 4 Pr 3.67-3.74, 2 Ac 3.77
5 Sm 0.0000 0.5000 0.0000 x2  4 Ac 3.72, 6 Pr 3.74-3.78, 2 Sm 3.76
6 Sm 0.0856 0.5000 0.7498 x4  7 Pr 3.66-3.73, 3 Sm 3.68-3.76, 2 Ac 3.74
7 Sm 0.1661 0.5000 0.5015 x4  4 Sm 3.68-3.75, 5 Pr 3.69-3.77, 3 Ac 3.73